<w>
{"formula": "SmGd2Al", "functional": "PBE", "state": "optimized geometry", "lattice": [[3.4711, 0.0000, 0.0000], [1.7355, 3.0060, 0.0000], [1.7355, 1.0020, 11.9531]], "species": ["Sm", "Gd", "Gd", "Al"], "fractional_positions": [[0.5000, 0.5000, 0.5000], [0.9145, 0.9145, 0.2564], [0.0855, 0.0855, 0.7436], [0.0000, 0.0000, 0.0000]], "magnetic_moment_mub_per_cell": 14.9, "dos_ef_per_ev_cell": 4.06}

***

<x>
{"formula": "SmGd2Al", "functional": "PBE", "state": "optimized geometry", "lattice": [[-4.7939, -0.2765, -0.6031], [0.6577, -1.8381, -4.3849], [0.0214, -4.4255, 1.8583]], "species": ["Gd", "Gd", "Sm", "Al"], "fractional_positions": [[0.0000, 0.5000, 0.0000], [0.0000, 0.0000, 0.5000], [0.5000, 0.5000, 0.5000], [0.5000, 0.0000, 0.0000]], "magnetic_moment_mub_per_cell": 15.2, "dos_ef_per_ev_cell": 3.66}

***

Relative energies, unit eV/atom: <w> 0.475; <x> 0.000

***

<w>
{"formula": "SmGd2Al", "functional": "PBE", "state": "optimized geometry", "lattice": [[-1.3057, -4.7229, -2.2808], [3.3691, -4.2089, 0.3827], [-1.3020, -4.2305, 3.1016]], "species": ["Gd", "Gd", "Al", "Sm"], "fractional_positions": [[0.7500, 0.7500, 0.7500], [0.2500, 0.2500, 0.2500], [0.5000, 0.5000, 0.5000], [0.0000, 0.0000, 0.0000]], "magnetic_moment_mub_per_cell": 15.7, "dos_ef_per_ev_cell": 5.66}

***

<x>
{"formula": "SmGd2Al", "functional": "PBE", "state": "optimized geometry", "lattice": [[3.5378, 0.0000, 0.0000], [0.0000, 3.5378, 0.0000], [0.0000, 0.0000, 9.1742]], "species": ["Gd", "Gd", "Sm", "Al"], "fractional_positions": [[0.0000, 0.0000, 0.2126], [0.0000, 0.0000, 0.7874], [0.5000, 0.5000, 0.5000], [0.5000, 0.5000, 0.0000]], "magnetic_moment_mub_per_cell": 14.4, "dos_ef_per_ev_cell": 4.31}

***

Relative energies, unit eV/atom: <w> 0.128; <x> 0.000

***

<w>
{"formula": "SmGdAl2", "functional": "PBE", "state": "optimized geometry", "lattice": [[3.6440, 0.0000, 0.0000], [1.8220, 3.1558, 0.0000], [1.8220, 1.0519, 9.3078]], "species": ["Al", "Al", "Gd", "Sm"], "fractional_positions": [[0.2493, 0.2493, 0.2522], [0.7507, 0.7507, 0.7478], [0.5000, 0.5000, 0.5000], [0.0000, 0.0000, 0.0000]], "magnetic_moment_mub_per_cell": 7.0, "dos_ef_per_ev_cell": 2.42}

***

<x>
{"formula": "SmGdAl2", "functional": "PBE", "state": "optimized geometry", "lattice": [[-4.1738, 3.0519, 0.1414], [-3.8467, -0.7208, -3.3820], [-4.5363, -1.8951, 1.6080]], "species": ["Al", "Al", "Gd", "Sm"], "fractional_positions": [[0.7500, 0.7500, 0.7500], [0.2500, 0.2500, 0.2500], [0.5000, 0.5000, 0.5000], [0.0000, 0.0000, 0.0000]], "magnetic_moment_mub_per_cell": 7.1, "dos_ef_per_ev_cell": 1.55}

***

<y>
{"formula": "SmGdAl2", "functional": "PBE", "state": "optimized geometry", "lattice": [[-2.0968, 2.1902, 2.0372], [-2.8215, -2.2742, -0.4590], [1.9900, -3.6808, 6.0053]], "species": ["Al", "Al", "Gd", "Sm"], "fractional_positions": [[0.0000, 0.0000, 0.7544], [0.0000, 0.0000, 0.2456], [0.5000, 0.5000, 0.0000], [0.5000, 0.5000, 0.5000]], "magnetic_moment_mub_per_cell": 7.0, "dos_ef_per_ev_cell": 1.47}

***

Relative energies, unit eV/atom: <w> 0.255; <x> 0.007; <y> 0.000